Entry 1:
First-principles (GGA-PBE) data for an optimized crystal structure of PmPu2Ge2, as listed in Alexandria via LeMat-Bulk.

Summary:
Its space group is Cmc2_1, No. 36. For the energy above the most stable polymorph in this dataset, the calculation gives 0.000 eV per formula unit. Its calculated formation energy is -349.9 meV per atom.

a b c (Å): 4.018 7.866 8.579
angles (deg): 90.00 90.00 104.80
Site moments in Bohr magnetons follow the coordinates.
Atoms (fractional coordinates):
1 Ge 0.978 0.955 0.008  -0.11
2 Pu 0.132 0.264 0.208  5.39
3 Ge 0.022 0.045 0.508  -0.11
4 Pu 0.669 0.339 0.476  5.29
5 Ge 0.226 0.453 0.699  -0.13
6 Pm 0.418 0.836 0.313  0.06
7 Ge 0.774 0.547 0.199  -0.13
8 Pu 0.331 0.661 0.976  5.29
9 Pu 0.868 0.736 0.708  5.39
10 Pm 0.582 0.164 0.813  0.06



Entry 2:
First-principles (GGA-PBE) data for an optimized crystal structure of Si23W3, as listed in Alexandria via LeMat-Bulk.

Summary:
Its space group is Pm-3n, No. 223. The energy relative to the elements, uncorrected comes out at 0.75 eV/atom.

a b c (Å): 10.121 10.121 10.121
angles (deg): 90.00 90.00 90.00
Site moments in Bohr magnetons follow the coordinates.
Atoms (fractional coordinates):
1 Si 0.811 0.500 0.616  0.03
2 Si 0.616 0.811 0.500  0.03
3 Si 0.311 0.116 0.000  0.03
4 Si 0.316 0.684 0.316  0.05
5 Si 0.684 0.684 0.316  0.05
6 Si 0.116 0.000 0.689  0.03
7 Si 0.500 0.250 0.000  0.02
8 Si 0.250 0.000 0.500  0.02
9 Si 0.384 0.811 0.500  0.03
10 Si 0.184 0.816 0.816  0.05
11 Si 0.184 0.184 0.816  0.05
12 W 0.000 0.750 0.500  3.22
13 Si 0.811 0.500 0.384  0.03
14 Si 0.000 0.311 0.884  0.03
15 Si 0.116 0.000 0.311  0.03
16 Si 0.500 0.616 0.189  0.03
17 Si 0.000 0.500 0.250  0.02
18 Si 0.316 0.316 0.684  0.05
19 Si 0.316 0.684 0.684  0.05
20 W 0.750 0.500 0.000  3.22
21 W 0.500 0.000 0.250  3.22
22 Si 0.500 0.384 0.811  0.03
23 Si 0.816 0.184 0.816  0.05
24 Si 0.816 0.816 0.816  0.05
25 Si 0.000 0.689 0.116  0.03
26 Si 0.311 0.884 0.000  0.03
27 Si 0.384 0.189 0.500  0.03
28 Si 0.816 0.816 0.184  0.05
29 Si 0.189 0.500 0.616  0.03
30 Si 0.884 0.000 0.689  0.03
31 Si 0.616 0.189 0.500  0.03
32 Si 0.816 0.184 0.184  0.05
33 Si 0.689 0.116 0.000  0.03
34 Si 0.500 0.616 0.811  0.03
35 Si 0.316 0.316 0.316  0.05
36 Si 0.184 0.816 0.184  0.05
37 Si 0.500 0.384 0.189  0.03
38 Si 0.000 0.500 0.750  0.02
39 Si 0.189 0.500 0.384  0.03
40 Si 0.000 0.311 0.116  0.03
41 Si 0.689 0.884 0.000  0.03
42 Si 0.184 0.184 0.184  0.05
43 Si 0.500 0.750 0.000  0.02
44 W 0.500 0.000 0.750  3.22
45 W 0.000 0.250 0.500  3.22
46 Si 0.000 0.689 0.884  0.03
47 Si 0.684 0.684 0.684  0.05
48 Si 0.684 0.316 0.316  0.05
49 W 0.250 0.500 0.000  3.22
50 Si 0.884 0.000 0.311  0.03
51 Si 0.750 0.000 0.500  0.02
52 Si 0.684 0.316 0.684  0.05



Entry 3:
First-principles (GGA-PBE) data for an optimized crystal structure of Sr2MoAs, as listed in Alexandria via LeMat-Bulk.

Summary:
Its space group is C2/m, No. 12. Its calculated formation energy is 452.3 meV per atom.

a b c (Å): 4.565 4.565 8.615
angles (deg): 74.77 74.77 59.90
Site moments in Bohr magnetons follow the coordinates.
Atoms (fractional coordinates):
1 Sr 0.019 0.019 0.944  0.02
2 Mo 0.250 0.250 0.250  3.80
3 As 0.750 0.750 0.750  0.04
4 Sr 0.481 0.481 0.556  0.02



Entry 4:
First-principles (GGA-PBE) data for an optimized crystal structure of La2GaAs3Rh4, as listed in Alexandria via LeMat-Bulk.

Summary:
Its space group is P-4m2, No. 115. Its calculated formation energy is -959.9 meV per atom.

a b c (Å): 4.279 4.279 10.274
angles (deg): 90.00 90.00 90.00
Atoms (fractional coordinates):
1 Rh 0.500 0.500 0.000
2 Ga 0.500 0.500 0.500
3 La 0.000 0.500 0.746
4 As 0.500 0.000 0.866
5 Rh 0.500 0.000 0.627
6 Rh 0.000 0.500 0.373
7 As 0.000 0.500 0.134
8 As 0.000 0.000 0.500
9 La 0.500 0.000 0.254
10 Rh 0.000 0.000 0.000



Entry 5:
First-principles (GGA-PBE) data for an optimized crystal structure of RbTl12Sn4, as listed in Alexandria via LeMat-Bulk.

Summary:
Its space group is Im-3, No. 204. Its calculated formation energy is 116.9 meV per atom.

a b c (Å): 9.242 9.242 9.242
angles (deg): 109.47 109.47 109.47
Atoms (fractional coordinates):
1 Sn 0.000 0.000 0.500
2 Tl 0.504 0.151 0.353
3 Tl 0.849 0.353 0.202
4 Tl 0.798 0.151 0.647
5 Sn 0.500 0.000 0.000
6 Sn 0.000 0.500 0.000
7 Tl 0.647 0.798 0.151
8 Tl 0.353 0.504 0.151
9 Rb 0.000 0.000 0.000
10 Tl 0.202 0.849 0.353
11 Sn 0.500 0.500 0.500
12 Tl 0.151 0.353 0.504
13 Tl 0.647 0.496 0.849
14 Tl 0.151 0.647 0.798
15 Tl 0.849 0.647 0.496
16 Tl 0.353 0.202 0.849
17 Tl 0.496 0.849 0.647



Entry 6:
First-principles (GGA-PBE) data for an optimized crystal structure of PmSc2Re, as listed in Alexandria via LeMat-Bulk.

Summary:
Its space group is P4/mmm, No. 123. Its calculated formation energy is 8.3 meV per atom.

a b c (Å): 3.292 3.292 8.699
angles (deg): 90.00 90.00 90.00
Atoms (fractional coordinates):
1 Sc 0.000 0.000 0.822
2 Re 0.500 0.500 0.000
3 Sc 0.000 0.000 0.178
4 Pm 0.500 0.500 0.500



Entry 7:
First-principles (GGA-PBE) data for an optimized crystal structure of PaF3, as listed in Alexandria via LeMat-Bulk.

Summary:
Its space group is I4/mmm, No. 139. For the energy above the most stable polymorph in this dataset, the calculation gives 0.000 eV per formula unit. The energy relative to the elements, uncorrected comes out at -3.30 eV/atom.

a b c (Å): 3.708 3.708 4.445
angles (deg): 114.65 114.65 90.00
Site moments in Bohr magnetons follow the coordinates.
Atoms (fractional coordinates):
1 F 0.250 0.750 0.500  -0.01
2 Pa 0.000 0.000 0.000  1.86
3 F 0.500 0.500 0.000  -0.01
4 F 0.750 0.250 0.500  -0.01



Entry 8:
First-principles (GGA-PBE) data for an optimized crystal structure of TmInAg2S4, as listed in Alexandria via LeMat-Bulk.

Summary:
Its space group is P2/m, No. 10. The energy relative to the elements, uncorrected comes out at -0.82 eV/atom.

a b c (Å): 3.941 6.919 7.755
angles (deg): 75.78 90.00 90.00
Atoms (fractional coordinates):
1 In 0.000 0.000 0.000
2 Ag 0.000 0.500 0.500
3 S 0.000 0.381 0.812
4 S 0.500 0.110 0.186
5 Ag 0.500 0.000 0.500
6 S 0.000 0.619 0.188
7 Tm 0.500 0.500 0.000
8 S 0.500 0.890 0.814